1.
Entry from Alexandria: crystalline RbPuO3 at its relaxed geometry (PBE).

Structure (extended XYZ):
```
20
Lattice="6.104 -5.536 0.000 6.104 5.536 0.000 -0.421 0.000 6.067" Properties=species:S:1:pos:R:3 pbc="T T T"
Rb 2.309 1.105 1.785
Rb 2.099 -1.105 4.818
Rb 9.689 1.105 1.249
Rb 9.479 -1.105 4.282
Pu 5.999 2.639 1.517
Pu 5.789 0.893 4.550
Pu 5.999 -0.893 1.517
Pu 5.789 -2.639 4.550
O 4.739 3.931 0.819
O 4.798 2.285 3.359
O 7.259 3.931 2.215
O 5.044 0.850 0.452
O 6.779 2.285 5.741
O 4.834 -0.850 3.485
O 6.953 0.850 2.582
O 5.009 -2.285 0.326
O 6.743 -0.850 5.615
O 4.529 -3.931 3.852
O 6.989 -2.285 2.707
O 7.048 -3.931 5.248
```

Values from the calculation:
**Symmetry**: C2/c
**Total energy**: -8.471 eV per atom
**Spin magnetization**: 0.60 μB/atom
**D(E_F)**: 0.895 states/eV/atom
**Formation energy (no corrections)**: -2.44 eV per atom

---

2.
Entry from Alexandria: crystalline ScTiSN2 at its relaxed geometry (PBE).

Structure (extended XYZ):
```
5
Lattice="3.868 0.000 0.000 0.000 3.868 0.000 0.000 0.000 4.844" Properties=species:S:1:pos:R:3 pbc="T T T"
Sc 0.000 0.000 0.000
Ti 1.934 1.934 2.422
S 1.934 1.934 0.000
N 0.000 1.934 2.422
N 1.934 0.000 2.422
```

Values from the calculation:
**Symmetry**: P4/mmm
**E above lowest polymorph**: 0.0 meV/atom
**Total energy**: -7.598 eV per atom
**Spin magnetization**: 0.00 μB/atom
**D(E_F)**: 0.555 states/eV/atom
**Formation energy (no corrections)**: -0.60 eV per atom

---

3.
Entry from Alexandria: crystalline Gd3GeO8 at its relaxed geometry (PBE).

Structure (extended XYZ):
```
24
Lattice="5.458 0.000 0.000 0.000 10.439 0.000 -1.555 0.000 5.965" Properties=species:S:1:pos:R:3 pbc="T T T"
Gd 0.553 0.493 1.764
Gd 0.553 4.726 1.764
Gd 0.241 2.610 4.878
Gd 3.661 7.830 1.087
Gd 3.350 5.713 4.201
Gd 3.350 9.946 4.201
Ge 0.913 7.830 3.047
Ge 2.990 2.610 2.918
O -0.465 6.603 2.760
O -0.465 9.056 2.760
O 0.307 2.610 0.766
O -0.400 0.279 5.561
O -0.400 4.941 5.561
O 1.392 7.830 4.789
O 2.076 6.534 2.314
O 2.076 9.125 2.314
O 1.827 1.314 3.650
O 1.827 3.905 3.650
O 2.511 2.610 1.176
O 4.303 5.499 0.404
O 4.303 10.160 0.404
O 3.596 7.830 5.199
O 4.368 1.383 3.205
O 4.368 3.837 3.205
```

Values from the calculation:
**Symmetry**: P2_1/m
**Total energy**: -9.585 eV per atom
**Spin magnetization**: 0.33 μB/atom
**D(E_F)**: 0.302 states/eV/atom
**Formation energy (no corrections)**: -2.37 eV per atom